! MoAs2Rh | Alexandria via LeMat-Bulk | PBE | optimized geometry; values from VASP
&SYSTEM
  ibrav = 0, nat = 4, ntyp = 3
/
ATOMIC_SPECIES
Mo 95.94 Mo.upf
As 74.92 As.upf
Rh 102.91 Rh.upf
CELL_PARAMETERS angstrom
4.3504 0.0000 0.0000
0.0000 4.3504 0.0000
0.0000 0.0000 3.1938
ATOMIC_POSITIONS angstrom
Mo 0.0000 0.0000 0.0000
As 0.0000 2.1752 1.5969
As 2.1752 0.0000 1.5969
Rh 2.1752 2.1752 0.0000
! Formation energy, eV per atom: -0.15
! Space-group type: P4/mmm (123)

***

! MoAsRh2 | Alexandria via LeMat-Bulk | PBE | optimized geometry; values from VASP
&SYSTEM
  ibrav = 0, nat = 4, ntyp = 3
/
ATOMIC_SPECIES
Mo 95.94 Mo.upf
As 74.92 As.upf
Rh 102.91 Rh.upf
CELL_PARAMETERS angstrom
3.8666 0.0000 0.0000
0.0000 3.8666 0.0000
0.0000 0.0000 3.9800
ATOMIC_POSITIONS angstrom
Mo 0.0000 0.0000 0.0000
As 1.9333 1.9333 0.0000
Rh 0.0000 1.9333 1.9900
Rh 1.9333 0.0000 1.9900
! Formation energy, eV per atom: 0.00
! Space-group type: P4/mmm (123)

***

! MoAsRh2 | Alexandria via LeMat-Bulk | PBE | optimized geometry; values from VASP
&SYSTEM
  ibrav = 0, nat = 4, ntyp = 3
/
ATOMIC_SPECIES
Mo 95.94 Mo.upf
As 74.92 As.upf
Rh 102.91 Rh.upf
CELL_PARAMETERS angstrom
-2.0012 2.0012 3.6858
2.0012 -2.0012 3.6858
2.0012 2.0012 -3.6858
ATOMIC_POSITIONS angstrom
Mo 0.0000 0.0000 0.0000
As 0.0000 2.0012 1.8429
Rh 2.0012 0.0000 1.8429
Rh 0.0000 0.0000 3.6858
! Formation energy, eV per atom: -0.07
! Space-group type: I-4m2 (119)

***

! MoAs2Rh | Alexandria via LeMat-Bulk | PBE | optimized geometry; values from VASP
&SYSTEM
  ibrav = 0, nat = 4, ntyp = 3
/
ATOMIC_SPECIES
Mo 95.94 Mo.upf
As 74.92 As.upf
Rh 102.91 Rh.upf
CELL_PARAMETERS angstrom
3.0661 0.0000 0.0000
0.0000 4.7226 0.0000
0.0000 0.0000 4.3488
ATOMIC_POSITIONS angstrom
Mo 0.0000 0.0000 0.0000
As 0.0000 2.3613 1.0355
As 1.5330 0.0000 2.2648
Rh 1.5330 2.3613 3.3193
! Formation energy, eV per atom: -0.20
! Space-group type: Pmm2 (25)

***

! MoAs2Rh | Alexandria via LeMat-Bulk | PBE | optimized geometry; values from VASP
&SYSTEM
  ibrav = 0, nat = 4, ntyp = 3
/
ATOMIC_SPECIES
Mo 95.94 Mo.upf
As 74.92 As.upf
Rh 102.91 Rh.upf
CELL_PARAMETERS angstrom
0.0000 3.1788 3.1788
3.1788 0.0000 3.1788
3.1788 3.1788 0.0000
ATOMIC_POSITIONS angstrom
Mo 0.0000 0.0000 0.0000
As 1.5894 1.5894 1.5894
As 3.1788 3.1788 3.1788
Rh 4.7682 4.7682 4.7682
! Formation energy, eV per atom: 0.30
! Space-group type: F-43m (216)

***

! MoAsRh2 | Alexandria via LeMat-Bulk | PBE | optimized geometry; values from VASP
&SYSTEM
  ibrav = 0, nat = 4, ntyp = 3
/
ATOMIC_SPECIES
Mo 95.94 Mo.upf
As 74.92 As.upf
Rh 102.91 Rh.upf
CELL_PARAMETERS angstrom
2.8636 0.0000 0.0000
0.0000 2.8636 0.0000
0.0000 0.0000 7.3157
ATOMIC_POSITIONS angstrom
Mo 0.0000 0.0000 0.0000
As 0.0000 0.0000 3.6579
Rh 1.4318 1.4318 1.8569
Rh 1.4318 1.4318 5.4588
! Formation energy, eV per atom: -0.12
! Space-group type: P4/mmm (123)

***

! MoAsRh2 | Alexandria via LeMat-Bulk | PBE | optimized geometry; values from VASP
&SYSTEM
  ibrav = 0, nat = 4, ntyp = 3
/
ATOMIC_SPECIES
Mo 95.94 Mo.upf
As 74.92 As.upf
Rh 102.91 Rh.upf
CELL_PARAMETERS angstrom
2.8601 0.0000 0.0000
0.0000 3.9778 0.0000
-1.2374 0.0000 5.2743
ATOMIC_POSITIONS angstrom
Mo 0.0000 0.0000 0.0000
As 0.7979 1.9889 3.8466
Rh 0.0509 0.0000 2.6981
Rh 1.4385 1.9889 1.2270
! Formation energy, eV per atom: -0.14
! Space-group type: Pm (6)

***

! MoAs2Rh | Alexandria via LeMat-Bulk | PBE | optimized geometry; values from VASP
&SYSTEM
  ibrav = 0, nat = 4, ntyp = 3
/
ATOMIC_SPECIES
Mo 95.94 Mo.upf
As 74.92 As.upf
Rh 102.91 Rh.upf
CELL_PARAMETERS angstrom
3.4036 0.0000 0.0000
0.0000 3.4036 0.0000
0.0000 0.0000 5.4711
ATOMIC_POSITIONS angstrom
Mo 0.0000 0.0000 0.0000
As 0.0000 0.0000 2.6916
As 1.7018 1.7018 4.5427
Rh 1.7018 1.7018 1.8878
! Formation energy, eV per atom: -0.16
! Space-group type: P4mm (99)

***

! MoAs4Rh | Alexandria via LeMat-Bulk | PBE | optimized geometry; values from VASP
&SYSTEM
  ibrav = 0, nat = 6, ntyp = 3
/
ATOMIC_SPECIES
Mo 95.94 Mo.upf
As 74.92 As.upf
Rh 102.91 Rh.upf
CELL_PARAMETERS angstrom
0.0000 3.7555 3.7555
3.7555 0.0000 3.7555
3.7555 3.7555 0.0000
ATOMIC_POSITIONS angstrom
Mo 0.0000 0.0000 0.0000
As 4.6947 2.8163 2.8163
As 2.8163 4.6947 2.8163
As 2.8163 2.8163 4.6947
As 4.6947 4.6947 4.6947
Rh 1.8778 1.8778 1.8778
! Formation energy, eV per atom: 0.78
! Space-group type: F-43m (216)

***

! MoAsRh3 | Alexandria via LeMat-Bulk | PBE | optimized geometry; values from VASP
&SYSTEM
  ibrav = 0, nat = 5, ntyp = 3
/
ATOMIC_SPECIES
Mo 95.94 Mo.upf
As 74.92 As.upf
Rh 102.91 Rh.upf
CELL_PARAMETERS angstrom
4.6775 0.0000 0.0000
0.0000 4.6775 0.0000
0.0000 0.0000 4.6775
ATOMIC_POSITIONS angstrom
Mo 0.0000 0.0000 0.0000
As 2.3388 2.3388 2.3388
Rh 0.0000 0.0000 2.3388
Rh 0.0000 2.3388 0.0000
Rh 2.3388 0.0000 0.0000
! Formation energy, eV per atom: 1.16
! Space-group type: Pm-3m (221)
! Distance to the lowest polymorph of the same formula, eV per atom: 0.3875

***

! MoAs2Rh | Alexandria via LeMat-Bulk | PBE | optimized geometry; values from VASP
&SYSTEM
  ibrav = 0, nat = 4, ntyp = 3
/
ATOMIC_SPECIES
Mo 95.94 Mo.upf
As 74.92 As.upf
Rh 102.91 Rh.upf
CELL_PARAMETERS angstrom
2.8681 0.0000 0.0000
0.0000 2.8681 0.0000
0.0000 0.0000 8.7987
ATOMIC_POSITIONS angstrom
Mo 0.0000 0.0000 0.0000
As 0.0000 0.0000 3.5631
As 1.4340 1.4340 6.9454
Rh 1.4340 1.4340 1.8792
! Formation energy, eV per atom: -0.08
! Space-group type: P4mm (99)

***

! MoAs2Rh | Alexandria via LeMat-Bulk | PBE | optimized geometry; values from VASP
&SYSTEM
  ibrav = 0, nat = 4, ntyp = 3
/
ATOMIC_SPECIES
Mo 95.94 Mo.upf
As 74.92 As.upf
Rh 102.91 Rh.upf
CELL_PARAMETERS angstrom
4.5376 -1.6021 0.0000
4.5376 1.6021 0.0000
-1.0832 0.0000 4.2635
ATOMIC_POSITIONS angstrom
Mo 0.0000 0.0000 0.0000
As 1.4579 0.0000 3.8669
As 4.0719 0.0000 2.2139
Rh 6.5539 0.0000 1.7146
! Formation energy, eV per atom: -0.17
! Space-group type: Cm (8)

***

For each record above, in turn, the calculated size of the total moment values are 0.00, 0.71, 0.00, 0.00, 0.07, 0.00, 0.00, 0.00, 1.02, 0.00, 0.00, 0.00 μB per formula unit.